Record 1
VASP calculation (PBE-GGA) on an optimized crystal structure of Cs2VGeI6.

a = 8.333 Å, b = 8.333 Å, c = 8.333 Å
α = 60.00°, β = 60.00°, γ = 60.00°
Element x y z (fractional)
Cs 0.250 0.250 0.250
Cs 0.750 0.750 0.750
V 0.000 0.000 0.000
Ge 0.500 0.500 0.500
I 0.244 0.244 0.756
I 0.244 0.756 0.244
I 0.244 0.756 0.756
I 0.756 0.244 0.244
I 0.756 0.244 0.756
I 0.756 0.756 0.244

Uncorrected formation energy in eV per atom: -0.799
Mass density in Mg/m³: 4.670

=====

Record 2
VASP calculation (PBE-GGA) on an optimized crystal structure of NbInPdRu.

a = 4.572 Å, b = 4.572 Å, c = 4.572 Å
α = 60.00°, β = 60.00°, γ = 60.00°
Element x y z (fractional)
Nb 0.000 0.000 0.000
In 0.500 0.500 0.500
Pd 0.250 0.250 0.250
Ru 0.750 0.750 0.750

Energy of formation in eV/atom: -0.187
Mass density in Mg/m³: 10.206

=====

Record 3
VASP calculation (PBE-GGA) on an optimized crystal structure of MgSc2Os.

a = 2.973 Å, b = 2.973 Å, c = 9.609 Å
α = 90.00°, β = 90.00°, γ = 111.29°
Element x y z (fractional)
Mg 0.000 0.000 0.000
Sc 0.000 0.000 0.574
Sc 0.500 0.500 0.280
Os 0.500 0.500 0.779

Energy of formation in eV/atom: 0.112
Mass density in Mg/m³: 6.387

=====

Please write out number 2 again, unchanged.
VASP calculation (PBE-GGA) on an optimized crystal structure of NbInPdRu.

a = 4.572 Å, b = 4.572 Å, c = 4.572 Å
α = 60.00°, β = 60.00°, γ = 60.00°
Element x y z (fractional)
Nb 0.000 0.000 0.000
In 0.500 0.500 0.500
Pd 0.250 0.250 0.250
Ru 0.750 0.750 0.750

Energy of formation in eV/atom: -0.187
Mass density in Mg/m³: 10.206

=====

The lowest mass density belongs to which entry?
Cs2VGeI6

=====

Copy entry 2 word for word.
VASP calculation (PBE-GGA) on an optimized crystal structure of NbInPdRu.

a = 4.572 Å, b = 4.572 Å, c = 4.572 Å
α = 60.00°, β = 60.00°, γ = 60.00°
Element x y z (fractional)
Nb 0.000 0.000 0.000
In 0.500 0.500 0.500
Pd 0.250 0.250 0.250
Ru 0.750 0.750 0.750

Energy of formation in eV/atom: -0.187
Mass density in Mg/m³: 10.206